DFT (PBE) results for an optimized crystal structure of CePu2Pb.

For the total energy, the calculation gives -9.59 eV per atom. The value obtained for the total moment is 3.73 μB/atom. The calculation puts the density of states at the Fermi level at 2.912 states/eV per atom. As for the formation energy: -0.01 eV/atom. The volume comes out at 110 Å³/f.u.

The structure belongs to space group Fm-3m (No. 225); the cell edges are 7.616, 7.616 and 7.616 Å and the angles 90.00°, 90.00° and 90.00°. The asymmetric unit holds Ce at (0.000, 0.000, 0.000), Pu at (0.250, 0.250, 0.250) and Pb at (0.000, 0.000, 0.500).

DFT (PBE) results for an optimized crystal structure of Ce8PuPb3.

For the total energy, the calculation gives -6.29 eV per atom. The value obtained for the total moment is 0.70 μB/atom. The calculation puts the density of states at the Fermi level at 2.354 states/eV per atom. As for the formation energy: -0.21 eV/atom. The volume comes out at 338 Å³/f.u.

The structure belongs to space group P1 (No. 1); the cell edges are 6.388, 6.512 and 8.536 Å and the angles 100.43°, 96.63° and 101.11°. The asymmetric unit holds Ce at (0.000, 0.000, 0.000), Ce at (0.044, 0.431, 0.005), Ce at (0.115, 0.585, 0.638), Ce at (0.243, 0.003, 0.632), Ce at (0.325, 0.833, 0.334), Ce at (0.605, 0.369, 0.987), Ce at (0.697, 0.626, 0.624), Ce at (0.844, 0.137, 0.284), Pu at (0.850, 0.705, 0.305), Pb at (0.363, 0.334, 0.317), Pb at (0.469, 0.830, 0.963) and Pb at (0.773, 0.140, 0.655).

DFT (PBE) results for an optimized crystal structure of Ce5PuPb2.

For the total energy, the calculation gives -6.64 eV per atom. The value obtained for the total moment is 0.67 μB/atom. The calculation puts the density of states at the Fermi level at 2.077 states/eV per atom. As for the formation energy: -0.21 eV/atom. The volume comes out at 214 Å³/f.u.

The structure belongs to space group I222 (No. 23); the cell edges are 6.581, 6.940 and 9.388 Å and the angles 90.00°, 90.00° and 90.00°. The asymmetric unit holds Ce at (0.000, 0.000, 0.000), Ce at (0.244, 0.294, 0.729), Pu at (0.000, 0.500, 0.500), Pb at (0.000, 0.000, 0.500) and Pb at (0.000, 0.500, 0.000).

DFT (PBE) results for an optimized crystal structure of CePu2Pb3.

For the total energy, the calculation gives -7.41 eV per atom. The value obtained for the total moment is 1.93 μB/atom. The calculation puts the density of states at the Fermi level at 2.372 states/eV per atom. As for the formation energy: 0.21 eV/atom. The volume comes out at 179 Å³/f.u.

The structure belongs to space group P4/mmm (No. 123); the cell edges are 3.251, 3.251 and 16.892 Å and the angles 90.00°, 90.00° and 90.00°. The asymmetric unit holds Ce at (0.000, 0.000, 0.000), Pu at (0.000, 0.000, 0.155), Pb at (0.500, 0.500, 0.307) and Pb at (0.500, 0.500, 0.500).

What is the formula in the first record?
CePu2Pb

Look up the total moment of the first one.
3.73 μB/atom